Sm2TmTh: relaxed, GGA-PBE.

Cell lengths 3.476, 3.476, 12.689 Å; angles 82.13, 82.13, 60.00 degrees
Atoms (fractional coordinates):
Th1 0.000 0.000 0.000
Tm1 0.500 0.500 0.500
Sm1 0.910 0.910 0.271
Sm2 0.090 0.090 0.729

## Properties
The calculation puts the density at 8.9 g/cm3. The value obtained for the calculated total energy is -20.626 eV per formula unit. As for the spin magnetization: 0.000 Bohr magnetons per cell. Its formation energy is 0.18 eV/atom.